A geometry-optimized SmZn5Cu7 structure. Source: Alexandria via LeMat-Bulk, functional PBE.

Cell and atoms, written as POSCAR:
```
SmZn5Cu7
1.0
-2.485 4.364 4.338
2.485 -4.364 4.338
2.485 4.364 -4.338
Sm Zn Cu
1 5 7
Cartesian
0.000 0.000 0.000 Sm
1.248 2.154 2.112 Zn
3.723 2.154 2.112 Zn
0.000 4.364 2.367 Zn
-1.238 2.210 6.450 Zn
1.238 2.210 6.450 Zn
2.485 0.000 1.873 Cu
2.485 1.959 -0.057 Cu
2.485 -1.262 4.274 Cu
0.000 0.000 3.059 Cu
2.485 1.262 4.274 Cu
0.000 0.000 5.568 Cu
0.000 2.405 4.281 Cu
```

A geometry-optimized Sm3Zn2Cu3 structure. Source: Alexandria via LeMat-Bulk, functional PBE.

Cell and atoms, written as POSCAR:
```
Sm3Zn2Cu3
1.0
2.213 -5.220 0.000
2.213 5.220 0.000
0.000 0.000 14.303
Sm Zn Cu
6 4 6
Cartesian
2.213 4.226 8.634 Sm
2.213 4.226 12.820 Sm
2.213 1.224 10.727 Sm
2.213 -1.224 3.576 Sm
2.213 -4.226 1.483 Sm
2.213 -4.226 5.669 Sm
2.213 3.102 1.379 Zn
2.213 3.102 5.772 Zn
2.213 -3.102 8.531 Zn
2.213 -3.102 12.924 Zn
2.213 1.797 3.576 Cu
2.213 1.137 7.725 Cu
2.213 1.137 13.729 Cu
2.213 -1.137 0.574 Cu
2.213 -1.137 6.578 Cu
2.213 -1.797 10.727 Cu
```

A geometry-optimized Sm2ZnCu7 structure. Source: Alexandria via LeMat-Bulk, functional PBE.

Cell and atoms, written as POSCAR:
```
Sm2ZnCu7
1.0
4.029 0.000 0.000
0.000 4.029 0.000
0.000 0.000 10.308
Sm Zn Cu
2 1 7
Cartesian
0.000 2.015 2.525 Sm
2.015 0.000 7.783 Sm
0.000 0.000 5.154 Zn
0.000 0.000 0.000 Cu
0.000 2.015 6.564 Cu
0.000 2.015 8.944 Cu
2.015 0.000 1.365 Cu
2.015 0.000 3.744 Cu
2.015 2.015 0.000 Cu
2.015 2.015 5.154 Cu
```

A geometry-optimized Sm11Zn9Cu4 structure. Source: Alexandria via LeMat-Bulk, functional PBE.

Cell and atoms, written as POSCAR:
```
Sm11Zn9Cu4
1.0
7.070 -10.626 0.000
7.070 10.626 0.000
0.000 0.000 3.661
Sm Zn Cu
11 9 4
Cartesian
0.000 0.000 0.000 Sm
3.401 3.664 0.000 Sm
7.070 7.047 0.000 Sm
4.075 0.000 0.000 Sm
7.070 2.836 0.000 Sm
3.401 -3.664 0.000 Sm
10.739 3.664 0.000 Sm
7.070 -2.836 0.000 Sm
10.064 0.000 0.000 Sm
7.070 -7.047 0.000 Sm
10.739 -3.664 0.000 Sm
1.995 1.549 1.831 Zn
5.616 4.978 1.831 Zn
1.995 -1.549 1.831 Zn
8.523 4.978 1.831 Zn
7.070 0.000 1.831 Zn
5.616 -4.978 1.831 Zn
12.145 1.549 1.831 Zn
8.523 -4.978 1.831 Zn
12.145 -1.549 1.831 Zn
4.952 2.085 1.831 Cu
4.952 -2.085 1.831 Cu
9.188 2.085 1.831 Cu
9.188 -2.085 1.831 Cu
```

A geometry-optimized SmZnCu5 structure. Source: Alexandria via LeMat-Bulk, functional PBE.

Cell and atoms, written as POSCAR:
```
SmZnCu5
1.0
8.121 0.000 0.000
0.000 5.073 0.000
0.000 0.000 10.240
Sm Zn Cu
4 4 20
Cartesian
1.958 1.268 0.634 Sm
2.102 3.805 5.754 Sm
6.019 1.268 4.486 Sm
6.163 3.805 9.606 Sm
1.163 3.805 8.799 Zn
2.897 1.268 3.679 Zn
5.224 3.805 6.561 Zn
6.958 1.268 1.441 Zn
0.508 3.805 0.999 Cu
0.536 0.027 3.165 Cu
0.536 2.509 3.165 Cu
0.760 1.268 5.285 Cu
1.481 1.268 7.707 Cu
2.579 3.805 2.587 Cu
3.301 3.805 0.165 Cu
3.524 2.564 8.285 Cu
3.524 5.046 8.285 Cu
3.552 1.268 6.119 Cu
4.569 3.805 4.121 Cu
4.597 0.027 1.955 Cu
4.597 2.509 1.955 Cu
4.820 1.268 10.075 Cu
5.542 1.268 7.654 Cu
6.640 3.805 2.533 Cu
7.361 3.805 4.955 Cu
7.585 2.564 7.075 Cu
7.585 5.046 7.075 Cu
7.613 1.268 9.241 Cu
```

A geometry-optimized Sm2Zn7Cu structure. Source: Alexandria via LeMat-Bulk, functional PBE.

Cell and atoms, written as POSCAR:
```
Sm2Zn7Cu
1.0
4.193 0.000 0.000
0.000 4.193 0.000
0.000 0.000 10.564
Sm Zn Cu
2 7 1
Cartesian
0.000 2.096 2.621 Sm
2.096 0.000 7.943 Sm
0.000 0.000 0.000 Zn
0.000 0.000 5.282 Zn
0.000 2.096 6.713 Zn
0.000 2.096 9.172 Zn
2.096 0.000 1.392 Zn
2.096 0.000 3.851 Zn
2.096 2.096 5.282 Zn
2.096 2.096 0.000 Cu
```

A geometry-optimized SmZn2Cu10 structure. Source: Alexandria via LeMat-Bulk, functional PBE.

Cell and atoms, written as POSCAR:
```
SmZn2Cu10
1.0
0.000 5.997 6.158
2.446 0.000 6.158
2.446 5.997 0.000
Sm Zn Cu
1 2 10
Cartesian
0.000 0.000 0.000 Sm
1.223 0.000 3.079 Zn
1.223 5.997 3.079 Zn
1.223 2.998 0.000 Cu
2.446 2.168 3.999 Cu
2.446 4.646 4.796 Cu
2.446 2.168 8.318 Cu
2.446 4.646 7.521 Cu
1.223 2.998 6.158 Cu
2.446 7.347 4.796 Cu
2.446 9.826 3.999 Cu
2.446 7.347 7.521 Cu
2.446 9.826 8.318 Cu
```

A geometry-optimized Sm3Zn8Cu structure. Source: Alexandria via LeMat-Bulk, functional PBE.

Cell and atoms, written as POSCAR:
```
Sm3Zn8Cu
1.0
2.715 1.568 8.893
-2.715 1.568 8.893
0.000 -3.135 8.893
Sm Zn Cu
3 8 1
Cartesian
0.000 0.000 0.000 Sm
0.000 0.000 3.397 Sm
0.000 0.000 13.747 Sm
-1.358 -0.784 10.641 Zn
0.000 -1.577 6.268 Zn
-1.366 0.789 6.268 Zn
0.000 0.000 8.441 Zn
1.358 -0.784 10.641 Zn
0.000 1.568 10.641 Zn
1.366 0.789 6.268 Zn
0.000 0.000 21.798 Zn
0.000 0.000 17.054 Cu
```

no.,spin magnetization (μB per formula unit),E (eV per cell),N(E_F) (states/eV/cell)
1,0.0,-41.39,5.31
2,0.0,-62.22,11.97
3,0.0,-40.78,6.82
4,0.0,-86.13,20.39
5,0.0,-111.30,13.24
6,0.0,-25.25,6.70
7,0.0,-49.50,4.01
8,0.0,-31.26,4.10